Record 1
VASP calculation (PBE-GGA) on a relaxed structure of LaCeCo.

Cell: 7.4398 6.2060 7.3717 Å, 65.72 90.00 90.00°
Last column: nearest neighbours and their distance in Å.
Sites, in units of the cell vectors:
La1 0.1498 0.7904 0.9165  1 Co 2.88
La2 0.3502 0.7904 0.4165  1 Co 2.88
La3 0.8502 0.2096 0.0835  1 Co 2.88
La4 0.6498 0.2096 0.5835  1 Co 2.88
Ce1 0.6354 0.7042 0.0562  2 Co 2.33-2.58
Ce2 0.3646 0.2958 0.9438  2 Co 2.33-2.58
Ce3 0.1354 0.2958 0.4438  2 Co 2.33-2.58
Ce4 0.8646 0.7042 0.5562  2 Co 2.33-2.58
Co1 0.6003 0.6214 0.7430  2 Ce 2.33-2.58
Co2 0.3997 0.3786 0.2570  2 Ce 2.33-2.58
Co3 0.8997 0.6214 0.2430  2 Ce 2.33-2.58
Co4 0.1003 0.3786 0.7570  2 Ce 2.33-2.58

Computed properties:
V   25.86 Å³/atom
Crystal system   monoclinic
Offset from the most stable computed form   0.064 eV/atom
N(E_F)   1.575 states/eV per atom
Space group   No. 14

Record 2
VASP calculation (PBE-GGA) on a relaxed structure of La2Ce2Co3.

Cell: 3.8676 6.2971 7.0477 Å, 84.48 105.93 90.00°
Last column: nearest neighbours and their distance in Å.
Sites, in units of the cell vectors:
La1 0.3620 0.8441 0.7239  4 Co 2.93-2.99
La2 0.6380 0.1559 0.2761  4 Co 2.93-2.99
Ce1 0.1109 0.6612 0.2218  4 Co 2.48-2.75
Ce2 0.8891 0.3388 0.7782  4 Co 2.48-2.75
Co1 0.0000 0.0000 0.0000  2 Ce 2.48
Co2 0.2705 0.3540 0.5410  3 Ce 2.51-2.75, 2 Co 2.69
Co3 0.7295 0.6460 0.4590  3 Ce 2.51-2.75, 2 Co 2.69

Computed properties:
V   23.46 Å³/atom
Crystal system   monoclinic
N(E_F)   1.001 states/eV per atom
Space group   No. 12

Record 3
VASP calculation (PBE-GGA) on a relaxed structure of LaCe2Co6.

Cell: 3.9765 6.8277 6.8277 Å, 120.00 90.00 90.00°
Last column: nearest neighbours and their distance in Å.
Sites, in units of the cell vectors:
La1 0.0000 0.0000 0.0000  12 Co 3.04
Ce1 0.0000 0.3333 0.6667  12 Co 3.01
Ce2 0.0000 0.6667 0.3333  12 Co 3.01
Co1 0.5000 0.3365 0.3365  3 Co 2.23-2.30
Co2 0.5000 0.6635 0.6635  3 Co 2.23-2.30
Co3 0.5000 0.0000 0.6635  3 Co 2.23-2.30
Co4 0.5000 0.6635 0.0000  3 Co 2.23-2.30
Co5 0.5000 0.3365 0.0000  3 Co 2.23-2.30
Co6 0.5000 0.0000 0.3365  3 Co 2.23-2.30

Computed properties:
V   17.84 Å³/atom
Crystal system   hexagonal
N(E_F)   1.230 states/eV per atom
Space group   No. 191

Record 4
VASP calculation (PBE-GGA) on a relaxed structure of La3CeCo.

Cell: 5.5001 5.5001 5.5001 Å, 90.00 90.00 90.00°
Last column: nearest neighbours and their distance in Å.
Sites, in units of the cell vectors:
Co1 0.0000 0.0000 0.0000  6 La 2.75
Ce1 0.5000 0.5000 0.5000  12 La 3.89
La1 0.0000 0.5000 0.0000  2 Co 2.75
La2 0.0000 0.0000 0.5000  2 Co 2.75
La3 0.5000 0.0000 0.0000  2 Co 2.75

Computed properties:
V   33.28 Å³/atom
Crystal system   cubic
Offset from the most stable computed form   0.139 eV/atom
N(E_F)   2.352 states/eV per atom
Space group   No. 221

Record 5
VASP calculation (PBE-GGA) on a relaxed structure of LaCe2Co2.

Cell: 4.3819 4.3819 5.6836 Å, 90.00 90.00 104.20°
Last column: nearest neighbours and their distance in Å.
Sites, in units of the cell vectors:
La1 0.0000 0.0000 0.0000  4 Co 3.05, 4 Ce 3.19
Ce1 0.2086 0.7914 0.5000  2 Co 2.45
Ce2 0.7914 0.2086 0.5000  2 Co 2.45
Co1 0.5000 0.5000 0.2538  2 Ce 2.45
Co2 0.5000 0.5000 0.7462  2 Ce 2.45

Computed properties:
V   21.16 Å³/atom
Crystal system   orthorhombic
N(E_F)   1.315 states/eV per atom
Space group   No. 65

Record 6
VASP calculation (PBE-GGA) on a relaxed structure of La5Ce2Co4.

Cell: 9.8329 9.8329 8.0857 Å, 79.12 79.12 22.69°
Last column: nearest neighbours and their distance in Å.
Sites, in units of the cell vectors:
La1 0.8297 0.8297 0.3651  3 Co 2.75-2.98
La2 0.1703 0.1703 0.6349  3 Co 2.75-2.98
La3 0.8238 0.8238 0.9072  3 Co 2.87-3.08
La4 0.5000 0.5000 0.0000  4 Co 2.86
La5 0.1762 0.1762 0.0928  3 Co 2.87-3.08
Ce1 0.4333 0.4333 0.6135  3 Co 2.31-2.51
Ce2 0.5667 0.5667 0.3865  3 Co 2.31-2.51
Co1 0.3117 0.3117 0.6513  1 Ce 2.31
Co2 0.0174 0.0174 0.2493  2 Ce 2.51
Co3 0.6883 0.6883 0.3487  1 Ce 2.31
Co4 0.9826 0.9826 0.7507  2 Ce 2.51

Computed properties:
V   26.91 Å³/atom
Crystal system   monoclinic
N(E_F)   1.155 states/eV per atom
Space group   No. 12

Record 7
VASP calculation (PBE-GGA) on a relaxed structure of LaCeCo.

Cell: 4.8770 4.8800 6.2796 Å, 90.00 90.01 89.99°
Last column: nearest neighbours and their distance in Å.
Sites, in units of the cell vectors:
La1 0.9806 0.9928 0.4867  1 Co 2.79
La2 0.4806 0.4928 0.2709  1 Co 2.79
Ce1 0.4805 0.9929 0.8791  4 Co 2.65
Ce2 0.9805 0.4929 0.8785  4 Co 2.64-2.65
Co1 0.9806 0.9930 0.0422  4 Ce 2.65, 1 La 2.79
Co2 0.4805 0.4929 0.7155  4 Ce 2.64-2.65, 1 La 2.79

Computed properties:
V   24.91 Å³/atom
Crystal system   tetragonal
Offset from the most stable computed form   0.000 eV/atom
N(E_F)   1.127 states/eV per atom
Space group   No. 129

Record 8
VASP calculation (PBE-GGA) on a relaxed structure of LaCe3Co8.

Cell: 5.0284 5.0284 8.7034 Å, 73.21 73.21 60.00°
Last column: nearest neighbours and their distance in Å.
Sites, in units of the cell vectors:
La1 0.8753 0.8753 0.3740  12 Co 2.95-2.99, 4 Ce 3.09
Ce1 0.3746 0.3746 0.8762  12 Co 2.90-2.95, 4 Ce 3.05-3.07
Ce2 0.0010 0.0010 0.9969  12 Co 2.89-2.94, 3 Ce 3.07, 1 La 3.09
Ce3 0.4985 0.4985 0.5045  12 Co 2.95-3.02, 1 Ce 3.05, 3 La 3.09
Co1 0.9401 0.4386 0.1827  6 Co 2.48-2.55
Co2 0.4342 0.9371 0.6916  6 Co 2.49-2.53
Co3 0.4386 0.4386 0.1827  6 Co 2.48-2.55
Co4 0.9371 0.9371 0.6916  6 Co 2.49-2.53
Co5 0.1873 0.1873 0.4382  6 Co 2.53-2.55
Co6 0.6875 0.6875 0.9374  6 Co 2.48-2.49
Co7 0.4386 0.9401 0.1827  6 Co 2.48-2.55
Co8 0.9371 0.4342 0.6916  6 Co 2.49-2.53

Computed properties:
V   14.97 Å³/atom
Crystal system   trigonal
N(E_F)   1.477 states/eV per atom
Space group   No. 160

no.,energy relative to the elements (eV per atom),total DFT energy (no corrections) (eV per cell)
1,-0.09,-72.95
2,-0.13,-43.93
3,-0.09,-60.23
4,0.11,-27.29
5,0.12,-30.39
6,-0.03,-65.22
7,-0.15,-36.86
8,-0.19,-81.87